Record 1
# LaCuSe2Br (PBE-GGA, relaxed)
# Density of states at the Fermi level = 1.66 states/eV per atom
# Final energy = -3.799 eV per atom
# Formation energy without anion corrections = -0.265 eV per atom
# Total moment = 0.34 Bohr magnetons per cell
data_LaCuSe2Br
_cell_length_a 5.7657
_cell_length_b 5.7657
_cell_length_c 5.7978
_cell_angle_alpha 90.00
_cell_angle_beta 90.00
_cell_angle_gamma 90.00
_symmetry_space_group_name_H-M 'P 1'
_symmetry_Int_Tables_number 1
loop_
_symmetry_equiv_pos_as_xyz
'x,y,z'
loop_
_atom_site_label
_atom_site_fract_x
_atom_site_fract_y
_atom_site_fract_z
La1 0.0000 0.0000 0.0000
Cu1 0.5000 0.5000 0.5000
Se1 0.0000 0.5000 0.0000
Se2 0.5000 0.0000 0.0000
Br1 0.0000 0.0000 0.5000

Record 2
# La6CuTc2Br3 (PBE-GGA, relaxed)
# Density of states at the Fermi level = 0.64 states/eV per atom
# Final energy = -5.660 eV per atom
# Formation energy without anion corrections = -0.709 eV per atom
# Total moment = 0.00 Bohr magnetons per cell
data_La6CuTc2Br3
_cell_length_a 10.2030
_cell_length_b 10.2030
_cell_length_c 9.3750
_cell_angle_alpha 111.28
_cell_angle_beta 111.28
_cell_angle_gamma 23.71
_symmetry_space_group_name_H-M 'P 1'
_symmetry_Int_Tables_number 1
loop_
_symmetry_equiv_pos_as_xyz
'x,y,z'
loop_
_atom_site_label
_atom_site_fract_x
_atom_site_fract_y
_atom_site_fract_z
La1 0.0180 0.0180 0.2373
La2 0.3223 0.3223 0.4494
La3 0.3411 0.3411 0.8854
La4 0.6589 0.6589 0.1146
La5 0.6777 0.6777 0.5506
La6 0.9820 0.9820 0.7627
Cu1 0.5000 0.5000 0.0000
Tc1 0.1507 0.1507 0.3179
Tc2 0.8493 0.8493 0.6821
Br1 0.1704 0.1704 0.8297
Br2 0.5000 0.5000 0.5000
Br3 0.8296 0.8296 0.1703

Which formula does entry 1 have? LaCuSe2Br

formation energy without anion corrections of number 1 (LaCuSe2Br)? -0.265 eV per atom